# 1
Below is TaMn2Sb after structural relaxation, with properties calculated at the PBE-GGA level.

Summary:
- calculated total energy (eV/atom) = -8.465

Cell: 5.001 5.001 5.001 Å, 134.39 134.39 66.48°
Sites, in units of the cell vectors:
Ta  0.000  0.000  0.000
Mn  0.250  0.750  0.500
Mn  0.500  0.500  0.000
Sb  0.750  0.250  0.500

***

# 2
Below is PaAuCl6 after structural relaxation, with properties calculated at the PBE-GGA level.

Summary:
- energy relative to the lowest polymorph listed for this composition (meV/atom) = 0
- calculated total energy (eV/atom) = -4.403

Cell: 6.966 7.193 7.620 Å, 63.33 63.73 63.27°
Sites, in units of the cell vectors:
Pa  0.000  0.000  0.000
Au  0.500  0.500  0.000
Cl  0.057  0.787  0.784
Cl  0.219  0.643  0.258
Cl  0.357  0.092  0.761
Cl  0.643  0.908  0.239
Cl  0.781  0.357  0.742
Cl  0.943  0.213  0.216

***

Number 1: ΔE_f (raw) 0.1140 eV/atom, density of states at the Fermi level 2.5 states/eV/f.u., V 62.9 Å³/cell. Number 2: ΔE_f (raw) -1.4217 eV/atom, density of states at the Fermi level 0.0 states/eV/f.u., V 290.5 Å³/cell.